1.
LiSnIN2 (GGA-PBE, relaxed); energy above the most stable polymorph in this dataset = 432 kJ/mol of formula units; total energy = -3.17 eV per atom; magnetization = 0.0 μB per cell; space group = No. 123
1.0
4.109 0.000 0.000
0.000 6.036 0.000
0.000 0.000 4.109
N Li I Sn
2 1 1 1
direct
0.500 0.000 0.000
0.000 0.000 0.500
0.500 0.500 0.500
0.000 0.000 0.000
0.000 0.500 0.000

---

2.
CoSnCl2 (GGA-PBE, relaxed); energy above the most stable polymorph in this dataset = 0 kJ/mol of formula units; total energy = -3.78 eV per atom; magnetization = 2.1 μB per cell; space group = No. 166
1.0
-8.275 3.360 -2.928
-8.585 3.803 0.418
-6.979 6.125 -1.458
Sn Cl Co
1 2 1
direct
0.500 0.500 0.500
0.923 0.923 0.923
0.077 0.077 0.077
0.000 0.000 0.000

---

3.
Ir2RhBr (GGA-PBE, relaxed); energy above the most stable polymorph in this dataset = 139 kJ/mol of formula units; total energy = -5.86 eV per atom; magnetization = 0.0 μB per cell; space group = No. 44
1.0
5.708 -0.001 0.000
3.105 4.789 0.000
-3.783 -3.541 2.393
Ir Br Rh
2 1 1
direct
0.019 0.019 0.000
0.243 0.743 0.500
0.760 0.260 0.500
0.478 0.478 0.000

---

4.
P4Rh (GGA-PBE, relaxed); total energy = -5.59 eV per atom; magnetization = 0.0 μB per cell; space group = No. 139
1.0
-2.801 2.801 2.619
2.801 -2.801 2.619
2.801 2.801 -2.619
Rh P
1 4
direct
0.000 0.000 0.000
0.294 0.706 0.000
0.706 0.706 0.413
0.706 0.294 0.000
0.294 0.294 0.587

---

5.
MnCo2HRh (GGA-PBE, relaxed); energy above the most stable polymorph in this dataset = 63 kJ/mol of formula units; total energy = -6.67 eV per atom; magnetization = 1.7 μB per cell; space group = No. 123
1.0
-1.043 -1.777 2.982
1.723 -2.968 -1.166
3.089 1.110 1.742
Rh H Co Mn
1 1 2 1
direct
0.000 0.000 0.500
0.000 0.000 0.000
0.000 0.500 0.000
0.500 0.000 0.000
0.500 0.500 0.500

---

6.
AgRu2Br (GGA-PBE, relaxed); energy above the most stable polymorph in this dataset = 239 kJ/mol of formula units; total energy = -4.73 eV per atom; magnetization = 1.8 μB per cell; space group = No. 12
1.0
-3.080 -4.593 0.413
3.498 0.561 -4.267
1.957 -2.209 0.318
Ru Br Ag
2 1 1
direct
0.000 0.000 0.000
0.500 0.500 0.000
0.000 0.500 0.500
0.500 0.000 0.500

---

7.
TiHPbW2 (GGA-PBE, relaxed); total energy = -4.97 eV per atom; magnetization = 1.3 μB per cell; space group = No. 123
1.0
5.134 0.000 0.000
0.000 5.212 0.000
0.000 0.000 5.134
H W Pb Ti
1 2 1 1
direct
0.500 0.500 0.500
0.000 0.000 0.500
0.500 0.000 0.000
0.000 0.000 0.000
0.000 0.500 0.000

---

8.
PmCdHg2 (GGA-PBE, relaxed); energy above the most stable polymorph in this dataset = 86 kJ/mol of formula units; total energy = -1.75 eV per atom; magnetization = 0.0 μB per cell; space group = No. 160
1.0
-0.775 3.593 -1.938
-2.551 2.786 1.731
4.812 5.329 3.501
Hg Pm Cd
2 1 1
direct
0.244 0.244 0.267
0.089 0.089 0.732
0.667 0.667 0.000
0.499 0.499 0.502

---

9.
CaFeN2 (GGA-PBE, relaxed); total energy = -6.23 eV per atom; magnetization = 0.2 μB per cell; space group = No. 225
1.0
2.927 -2.534 -0.004
0.422 -2.476 2.946
-0.705 -3.771 -0.524
N Fe Ca
2 1 1
direct
0.750 0.750 0.750
0.250 0.250 0.250
0.500 0.500 0.500
0.000 0.000 0.000

---

10.
Sc2SbTe (GGA-PBE, relaxed); energy above the most stable polymorph in this dataset = 115 kJ/mol of formula units; total energy = -5.74 eV per atom; magnetization = 1.1 μB per cell; space group = No. 123
1.0
-0.458 3.458 -0.815
-3.460 -0.247 0.896
1.678 1.870 6.994
Te Sc Sb
1 2 1
direct
0.500 0.500 0.250
0.000 0.000 0.001
0.000 0.000 0.499
0.500 0.500 0.750

---

11.
CoMo2 (GGA-PBE, relaxed); total energy = -9.03 eV per atom; magnetization = 0.5 μB per cell; space group = No. 71
1.0
-1.682 2.280 3.034
1.682 -2.280 3.034
1.682 2.280 -3.034
Co Mo
1 2
direct
0.000 0.000 0.000
0.707 0.207 0.500
0.293 0.793 0.500

---

12.
NdVPd (GGA-PBE, relaxed); total energy = -6.43 eV per atom; magnetization = 0.0 μB per cell; space group = No. 123
1.0
5.070 0.000 0.000
-2.535 2.538 0.000
0.000 0.000 9.941
V Nd Pd
2 2 2
direct
0.694 0.389 0.598
0.694 0.389 0.402
0.194 0.389 0.182
0.194 0.389 0.818
0.694 0.389 0.000
0.194 0.389 0.500

---

The calculation returns the following DOS(E_F) values, one per record and in order: 0.563 1.055 1.048 0.409 1.507 1.453 1.214 0.781 0.654 1.004 1.216 1.299 states/eV per atom.